Run P
CeErI6 | PBE-GGA | optimized geometry

Geometry as CIF:
```
data_CeErI6
_cell_length_a 7.7159
_cell_length_b 7.7159
_cell_length_c 21.0725
_cell_angle_alpha 90.00
_cell_angle_beta 90.00
_cell_angle_gamma 120.00
_space_group_name_H-M_alt 'R -3'
_space_group_IT_number 148
_space_group_name_Hall '-R 3'
loop_
_atom_site_label
_atom_site_type_symbol
_atom_site_fract_x
_atom_site_fract_y
_atom_site_fract_z
_atom_site_occupancy
Ce1 Ce 0.0000 0.0000 0.0000 1
Er1 Er 0.0000 0.0000 0.5000 1
I1 I 0.0031 0.6793 0.5814 1
```

Computed properties:
The total magnetization is 1.0 μB/f.u.



Run Q
CeErI6 | PBE-GGA | optimized geometry

Geometry as CIF:
```
data_CeErI6
_cell_length_a 8.045
_cell_length_b 14.005
_cell_length_c 7.808
_cell_angle_alpha 90.00
_cell_angle_beta 93.56
_cell_angle_gamma 90.00
_space_group_name_H-M_alt 'C 1 2/m 1'
_space_group_IT_number 12
loop_
_space_group_symop_operation_xyz
'x,y,z'
'-x,-y,-z'
'-x,y,-z'
'x,-y,z'
'x+1/2,y+1/2,z'
'-x+1/2,-y+1/2,-z'
'-x+1/2,y+1/2,-z'
'x+1/2,-y+1/2,z'
loop_
_atom_site_label
_atom_site_type_symbol
_atom_site_fract_x
_atom_site_fract_y
_atom_site_fract_z
_atom_site_occupancy
Ce1 Ce 0.000 0.000 0.000 1
Er1 Er 0.000 0.000 0.500 1
I1 I 0.150 0.148 0.273 1
I2 I 0.201 0.500 0.244 1
```

Computed properties:
The total magnetization is 1.0 μB/f.u.



Top of the stability list: run Q, leading by 45 meV per atom.



Run P
CeEr2In4 | PBE-GGA | optimized geometry

Geometry as CIF:
```
data_CeEr2In4
_cell_length_a 5.185
_cell_length_b 5.185
_cell_length_c 7.580
_cell_angle_alpha 90.00
_cell_angle_beta 90.00
_cell_angle_gamma 90.00
_space_group_name_H-M_alt 'P 4/m m m'
_space_group_IT_number 123
_space_group_name_Hall '-P 4 2'
loop_
_atom_site_label
_atom_site_type_symbol
_atom_site_fract_x
_atom_site_fract_y
_atom_site_fract_z
_atom_site_occupancy
Ce1 Ce 0.000 0.000 0.000 1
Er1 Er 0.000 0.000 0.500 1
Er2 Er 0.500 0.500 0.000 1
In1 In 0.000 0.500 0.275 1
```

Computed properties:
The total magnetization is 1.3 μB/f.u.



Run Q
CeEr2In4 | PBE-GGA | optimized geometry

Geometry as CIF:
```
data_CeEr2In4
_cell_length_a 4.8855
_cell_length_b 4.8855
_cell_length_c 28.8286
_cell_angle_alpha 90.00
_cell_angle_beta 90.00
_cell_angle_gamma 120.00
_space_group_name_H-M_alt 'R -3 m'
_space_group_IT_number 166
_space_group_name_Hall '-R 3 2"'
loop_
_atom_site_label
_atom_site_type_symbol
_atom_site_fract_x
_atom_site_fract_y
_atom_site_fract_z
_atom_site_occupancy
Ce1 Ce 0.0000 0.0000 0.0000 1
Er1 Er 0.0000 0.0000 0.1300 1
In1 In 0.0000 0.0000 0.2478 1
In2 In 0.0000 0.0000 0.3897 1
```

Computed properties:
The total magnetization is 0.9 μB/f.u.



Top of the stability list: run P, leading by 36 meV per atom.



Run P
Ce2ErIn | PBE-GGA | optimized geometry

Geometry as CIF:
```
data_Ce2ErIn
_cell_length_a 7.755
_cell_length_b 7.755
_cell_length_c 7.755
_cell_angle_alpha 90.00
_cell_angle_beta 90.00
_cell_angle_gamma 90.00
_space_group_name_H-M_alt 'F m -3 m'
_space_group_IT_number 225
_space_group_name_Hall '-F 4 2 3'
loop_
_atom_site_label
_atom_site_type_symbol
_atom_site_fract_x
_atom_site_fract_y
_atom_site_fract_z
_atom_site_occupancy
Ce1 Ce 0.250 0.250 0.250 1
Er1 Er 0.000 0.000 0.000 1
In1 In 0.000 0.000 0.500 1
```

Computed properties:
The total magnetization is 2.9 μB/f.u.



Run Q
Ce2ErIn | PBE-GGA | optimized geometry

Geometry as CIF:
```
data_Ce2ErIn
_cell_length_a 4.608
_cell_length_b 4.608
_cell_length_c 5.159
_cell_angle_alpha 90.00
_cell_angle_beta 90.00
_cell_angle_gamma 90.00
_space_group_name_H-M_alt 'P 4/m m m'
_space_group_IT_number 123
_space_group_name_Hall '-P 4 2'
loop_
_atom_site_label
_atom_site_type_symbol
_atom_site_fract_x
_atom_site_fract_y
_atom_site_fract_z
_atom_site_occupancy
Ce1 Ce 0.000 0.500 0.000 1
Er1 Er 0.000 0.000 0.500 1
In1 In 0.500 0.500 0.500 1
```

Computed properties:
The total magnetization is 1.7 μB/f.u.



Run R
Ce2ErIn | PBE-GGA | optimized geometry

Geometry as CIF:
```
data_Ce2ErIn
_cell_length_a 4.204
_cell_length_b 4.204
_cell_length_c 6.703
_cell_angle_alpha 90.00
_cell_angle_beta 90.00
_cell_angle_gamma 90.00
_space_group_name_H-M_alt 'P 4/m m m'
_space_group_IT_number 123
_space_group_name_Hall '-P 4 2'
loop_
_atom_site_label
_atom_site_type_symbol
_atom_site_fract_x
_atom_site_fract_y
_atom_site_fract_z
_atom_site_occupancy
Ce1 Ce 0.000 0.000 0.213 1
Er1 Er 0.500 0.500 0.500 1
In1 In 0.500 0.500 0.000 1
```

Computed properties:
The total magnetization is 2.0 μB/f.u.



Top of the stability list: run Q, leading by 124 meV per atom.



Run P
CeEr2In2 | PBE-GGA | optimized geometry

Geometry as CIF:
```
data_CeEr2In2
_cell_length_a 5.1162
_cell_length_b 5.1162
_cell_length_c 6.3613
_cell_angle_alpha 90.00
_cell_angle_beta 90.00
_cell_angle_gamma 120.00
_space_group_name_H-M_alt 'P -6 m 2'
_space_group_IT_number 187
_space_group_name_Hall 'P -6 2'
loop_
_atom_site_label
_atom_site_type_symbol
_atom_site_fract_x
_atom_site_fract_y
_atom_site_fract_z
_atom_site_occupancy
Ce1 Ce 0.0000 0.0000 0.0000 1
Er1 Er 0.0000 0.0000 0.5000 1
Er2 Er 0.3333 0.6667 0.0000 1
In1 In 0.6667 0.3333 0.2482 1
```

Computed properties:
The total magnetization is 0.6 μB/f.u.



Run Q
CeEr2In2 | PBE-GGA | optimized geometry

Geometry as CIF:
```
data_CeEr2In2
_cell_length_a 5.2629
_cell_length_b 5.2629
_cell_length_c 6.4447
_cell_angle_alpha 90.00
_cell_angle_beta 90.00
_cell_angle_gamma 120.00
_space_group_name_H-M_alt 'P -3 m 1'
_space_group_IT_number 164
_space_group_name_Hall '-P 3 2"'
loop_
_atom_site_label
_atom_site_type_symbol
_atom_site_fract_x
_atom_site_fract_y
_atom_site_fract_z
_atom_site_occupancy
Ce1 Ce 0.0000 0.0000 0.0000 1
Er1 Er 0.3333 0.6667 0.6601 1
In1 In 0.3333 0.6667 0.1829 1
```

Computed properties:
The total magnetization is 0.8 μB/f.u.



Top of the stability list: run Q, leading by 98 meV per atom.



Run P
CeErInOs | PBE-GGA | optimized geometry

Geometry as CIF:
```
data_CeErInOs
_cell_length_a 3.344
_cell_length_b 3.344
_cell_length_c 8.441
_cell_angle_alpha 90.00
_cell_angle_beta 90.00
_cell_angle_gamma 90.00
_space_group_name_H-M_alt 'P 4 m m'
_space_group_IT_number 99
loop_
_space_group_symop_operation_xyz
'x,y,z'
'-y,x,z'
'-x,-y,z'
'y,-x,z'
'-x,y,z'
'y,x,z'
'x,-y,z'
'-y,-x,z'
loop_
_atom_site_label
_atom_site_type_symbol
_atom_site_fract_x
_atom_site_fract_y
_atom_site_fract_z
_atom_site_occupancy
Ce1 Ce 0.000 0.000 0.000 1
Er1 Er 0.000 0.000 0.589 1
In1 In 0.500 0.500 0.302 1
Os1 Os 0.500 0.500 0.791 1
```

Computed properties:
The total magnetization is 0.2 μB/f.u.



Run Q
CeErInOs | PBE-GGA | optimized geometry

Geometry as CIF:
```
data_CeErInOs
_cell_length_a 7.185
_cell_length_b 7.185
_cell_length_c 7.185
_cell_angle_alpha 90.00
_cell_angle_beta 90.00
_cell_angle_gamma 90.00
_space_group_name_H-M_alt 'F -4 3 m'
_space_group_IT_number 216
_space_group_name_Hall 'F -4 2 3'
loop_
_atom_site_label
_atom_site_type_symbol
_atom_site_fract_x
_atom_site_fract_y
_atom_site_fract_z
_atom_site_occupancy
Ce1 Ce 0.000 0.000 0.000 1
Er1 Er 0.000 0.000 0.500 1
In1 In 0.250 0.250 0.750 1
Os1 Os 0.250 0.250 0.250 1
```

Computed properties:
The total magnetization is 0.4 μB/f.u.



Top of the stability list: run P, leading by 206 meV per atom.